1.
Compound: AgSb3I
Source: Alexandria
Functional: GGA-PBE
Structure: relaxed

Computed properties:
Formation energy without anion corrections, eV/atom: 0.65

```
data_AgSb3I
_cell_length_a 5.444
_cell_length_b 5.444
_cell_length_c 5.444
_cell_angle_alpha 90.00
_cell_angle_beta 90.00
_cell_angle_gamma 90.00
_space_group_name_H-M_alt 'P m -3 m'
_space_group_IT_number 221
_space_group_name_Hall '-P 4 2 3'
loop_
_atom_site_label
_atom_site_fract_x
_atom_site_fract_y
_atom_site_fract_z
Ag1 0.000 0.000 0.000
Sb1 0.000 0.000 0.500
I1 0.500 0.500 0.500
```

=====

2.
Compound: TlAs2Ru
Source: Alexandria
Functional: GGA-PBE
Structure: relaxed

```
data_TlAs2Ru
_cell_length_a 7.530
_cell_length_b 3.142
_cell_length_c 7.379
_cell_angle_alpha 90.00
_cell_angle_beta 99.47
_cell_angle_gamma 90.00
_space_group_name_H-M_alt 'C 1 2/m 1'
_space_group_IT_number 12
loop_
_space_group_symop_operation_xyz
'x,y,z'
'-x,-y,-z'
'-x,y,-z'
'x,-y,z'
'x+1/2,y+1/2,z'
'-x+1/2,-y+1/2,-z'
'-x+1/2,y+1/2,-z'
'x+1/2,-y+1/2,z'
loop_
_atom_site_label
_atom_site_fract_x
_atom_site_fract_y
_atom_site_fract_z
Tl1 0.000 0.000 0.000
As1 0.231 0.000 0.668
Ru1 0.000 0.500 0.500
```

=====

Energy above the lowest structure with this stoichiometry, record by record: 0.0000; 0.0383 eV per atom
V, record by record: 161.38; 172.21 Å³ per cell
E_tot, record by record: -13.54; -20.93 eV per formula unit